Entry from Alexandria via LeMat-Bulk: a relaxed CrAgB2C crystal (GGA-PBE).

Properties
energy of formation: 1.770 eV per atom
SG: P4/mmm

Structure (extended XYZ):
```
5
Lattice="-2.5387 1.4239 2.1408 1.5055 -2.3797 3.3681 2.2528 2.6818 0.8878" Properties=species:S:1:pos:R:3 pbc="T T T"
Cr 0.6098 0.8630 3.1984
C 0.0000 0.0000 0.0000
B 1.1264 1.3409 0.4439
B -1.2694 0.7120 1.0704
Ag 0.7528 -1.1898 1.6841
```